Here is crystalline Mg2TaAu at its relaxed geometry from Alexandria. Energies are from PBE-GGA.

Cell: 5.0786 5.0786 5.0786 Å, 130.76 130.76 72.19°
Last column: nearest neighbours and their distance in Å.
Fractional coordinates of all 4 atoms:
Au  0.7500  0.2500  0.5000  4 Ta 2.95, 8 Mg 2.95-2.99
Mg  0.0000  0.0000  0.0000  4 Mg 2.95, 4 Au 2.95, 4 Ta 2.99
Mg  0.2500  0.7500  0.5000  4 Mg 2.95, 4 Ta 2.95, 4 Au 2.99
Ta  0.5000  0.5000  0.0000  4 Au 2.95, 8 Mg 2.95-2.99

Values from the calculation:
Magnetization (Bohr magnetons per cell): 0.0
Energy of formation from the pure elements (eV/atom): 0.159
Volume (A^3/atom): 18.37
Symmetry: I-4m2 (119)

---

Here is crystalline CdBPd2 at its relaxed geometry from Alexandria. Energies are from PBE-GGA.

Cell: 3.1551 3.1551 7.1576 Å, 77.27 77.27 60.00°
Last column: nearest neighbours and their distance in Å.
Fractional coordinates of all 4 atoms:
B  0.0000  0.0000  0.0000  6 Pd 2.15
Pd  0.7219  0.7219  0.8344  3 B 2.15
Pd  0.2781  0.2781  0.1656  3 B 2.15
Cd  0.5000  0.5000  0.5000  6 Pd 2.95, 6 Cd 3.16

Values from the calculation:
Magnetization (Bohr magnetons per cell): 0.0
Energy of formation from the pure elements (eV/atom): -0.223
Volume (A^3/atom): 14.92
Symmetry: R-3m (166)

---

Here is crystalline In4Br3Cl at its relaxed geometry from Alexandria. Energies are from PBE-GGA.

Cell: 6.5930 6.7698 13.1230 Å, 90.00 90.00 90.00°
Last column: nearest neighbours and their distance in Å.
Fractional coordinates of all 16 atoms:
In  0.0608  0.7551  0.0000  1 Cl 2.93
In  0.5703  0.2636  0.0000  3 Br 3.11-3.28, 1 Cl 3.13
In  0.0678  0.2457  0.2416  4 Br 3.12-3.40, 1 Cl 3.22
In  0.5678  0.7543  0.2584  4 Br 3.12-3.40, 1 Cl 3.22
In  0.0703  0.7364  0.5000  3 Br 3.11-3.28, 1 Cl 3.13
In  0.5608  0.2449  0.5000  1 Cl 2.93
In  0.5678  0.7543  0.7416  4 Br 3.12-3.40, 1 Cl 3.22
In  0.0678  0.2457  0.7584  4 Br 3.12-3.40, 1 Cl 3.22
Br  0.5570  0.7233  0.0000  5 In 3.11-3.40
Br  0.0749  0.7057  0.2502  5 In 3.12-3.36
Br  0.5749  0.2943  0.2498  5 In 3.12-3.36
Br  0.0570  0.2767  0.5000  5 In 3.11-3.40
Br  0.5749  0.2943  0.7502  5 In 3.12-3.36
Br  0.0749  0.7057  0.7498  5 In 3.12-3.36
Cl  0.0416  0.3230  0.0000  4 In 2.93-3.22
Cl  0.5416  0.6770  0.5000  4 In 2.93-3.22

Values from the calculation:
Magnetization (Bohr magnetons per cell): 0.0
Volume (A^3/atom): 36.61
Symmetry: Pmn2_1 (31)
E_form (uncorrected) (meV per atom): -682

---

Here is crystalline Ac5Ga3 at its relaxed geometry from Alexandria. Energies are from PBE-GGA.

Cell: 8.2673 8.2673 15.9523 Å, 90.00 90.00 90.00°
Last column: nearest neighbours and their distance in Å.
Fractional coordinates of all 32 atoms:
Ac  0.8128  0.8424  0.6039  5 Ga 3.30-3.55
Ac  0.1872  0.8424  0.1039  5 Ga 3.30-3.55
Ac  0.1576  0.8128  0.3961  5 Ga 3.30-3.55
Ac  0.0000  0.5000  0.7186  5 Ga 3.30-3.36
Ac  0.8424  0.1872  0.3961  5 Ga 3.30-3.55
Ac  0.6872  0.6576  0.3961  5 Ga 3.30-3.55
Ac  0.6576  0.3128  0.6039  5 Ga 3.30-3.55
Ac  0.3424  0.6872  0.6039  5 Ga 3.30-3.55
Ac  0.0000  0.5000  0.2186  5 Ga 3.30-3.36
Ac  0.6576  0.6872  0.1039  5 Ga 3.30-3.55
Ac  0.6872  0.3424  0.8961  5 Ga 3.30-3.55
Ac  0.8424  0.8128  0.8961  5 Ga 3.30-3.55
Ac  0.3128  0.3424  0.3961  5 Ga 3.30-3.55
Ac  0.1872  0.1576  0.6039  5 Ga 3.30-3.55
Ac  0.8128  0.1576  0.1039  5 Ga 3.30-3.55
Ac  0.3128  0.6576  0.8961  5 Ga 3.30-3.55
Ac  0.3424  0.3128  0.1039  5 Ga 3.30-3.55
Ac  0.5000  0.0000  0.2814  5 Ga 3.30-3.36
Ac  0.1576  0.1872  0.8961  5 Ga 3.30-3.55
Ac  0.5000  0.0000  0.7814  5 Ga 3.30-3.36
Ga  0.6157  0.3843  0.2500  1 Ga 2.70
Ga  0.1157  0.8843  0.7500  1 Ga 2.70
Ga  0.3843  0.3843  0.7500  1 Ga 2.70
Ga  0.3843  0.6157  0.2500  1 Ga 2.70
Ga  0.8843  0.8843  0.2500  1 Ga 2.70
Ga  0.6157  0.6157  0.7500  1 Ga 2.70
Ga  0.0000  0.5000  0.5115  9 Ac 3.30-3.55
Ga  0.8843  0.1157  0.7500  1 Ga 2.70
Ga  0.5000  0.0000  0.4885  9 Ac 3.30-3.55
Ga  0.5000  0.0000  0.9885  9 Ac 3.30-3.55
Ga  0.1157  0.1157  0.2500  1 Ga 2.70
Ga  0.0000  0.5000  0.0115  9 Ac 3.30-3.55

Values from the calculation:
Magnetization (Bohr magnetons per cell): 0.0
Energy of formation from the pure elements (eV/atom): -0.392
Volume (A^3/atom): 34.07
Symmetry: P4/ncc (130)

---

Here is crystalline Pm5Ho12Sc2 at its relaxed geometry from Alexandria. Energies are from PBE-GGA.

Cell: 7.1962 9.9076 9.8735 Å, 69.19 90.00 111.29°
Last column: nearest neighbours and their distance in Å.
Fractional coordinates of all 19 atoms:
Pm  0.1879  0.3759  0.8073  7 Ho 3.29-3.68, 2 Pm 3.60
Pm  0.3190  0.6380  0.2052  2 Sc 3.48, 2 Pm 3.60, 9 Ho 3.62-3.85
Pm  0.0000  0.0000  0.5000  2 Ho 2.93
Pm  0.6810  0.3620  0.7948  2 Sc 3.48, 2 Pm 3.60, 9 Ho 3.62-3.85
Pm  0.8121  0.6241  0.1927  7 Ho 3.29-3.68, 2 Pm 3.60
Ho  0.9856  0.9712  0.2147  1 Pm 2.93, 2 Sc 2.98
Ho  0.0908  0.6846  0.8634  6 Ho 3.33-3.62, 3 Pm 3.56-3.71, 1 Sc 3.67
Ho  0.5937  0.6846  0.8634  6 Ho 3.33-3.62, 3 Pm 3.56-3.71, 1 Sc 3.67
Ho  0.0863  0.6774  0.5062  6 Ho 3.32-3.63, 4 Pm 3.45-3.68
Ho  0.5910  0.6774  0.5062  6 Ho 3.32-3.63, 4 Pm 3.45-3.68
Ho  0.5019  0.0039  0.6857  5 Ho 3.33-3.70, 2 Sc 3.40
Ho  0.4981  0.9961  0.3143  5 Ho 3.33-3.70, 2 Sc 3.40
Ho  0.9137  0.3226  0.4938  6 Ho 3.32-3.63, 4 Pm 3.45-3.68
Ho  0.4090  0.3226  0.4938  6 Ho 3.32-3.63, 4 Pm 3.45-3.68
Ho  0.9092  0.3154  0.1366  6 Ho 3.33-3.62, 3 Pm 3.56-3.71, 1 Sc 3.67
Ho  0.4063  0.3154  0.1366  6 Ho 3.33-3.62, 3 Pm 3.56-3.71, 1 Sc 3.67
Ho  0.0144  0.0288  0.7853  1 Pm 2.93, 2 Sc 2.98
Sc  0.6971  0.0000  0.0000  1 Sc 2.84, 2 Ho 2.98
Sc  0.3029  0.0000  0.0000  1 Sc 2.84, 2 Ho 2.98

Values from the calculation:
Magnetization (Bohr magnetons per cell): 0.0
Energy of formation from the pure elements (eV/atom): 0.176
Volume (A^3/atom): 31.91
Symmetry: C2/m (12)

---

Here is crystalline CsTlHg2Pt at its relaxed geometry from Alexandria. Energies are from PBE-GGA.

Cell: 5.4924 5.4924 5.3679 Å, 90.00 90.00 90.00°
Last column: nearest neighbours and their distance in Å.
Fractional coordinates of all 5 atoms:
Cs  0.5000  0.5000  0.5000  8 Hg 3.84, 4 Tl 3.88
Tl  0.0000  0.0000  0.5000  2 Pt 2.68
Hg  0.0000  0.5000  0.0000  2 Pt 2.75
Hg  0.5000  0.0000  0.0000  2 Pt 2.75
Pt  0.0000  0.0000  0.0000  2 Tl 2.68, 4 Hg 2.75

Values from the calculation:
Magnetization (Bohr magnetons per cell): 0.0
Energy of formation from the pure elements (eV/atom): -0.234
Volume (A^3/atom): 32.39
Symmetry: P4/mmm (123)